a:
First-principles (PBE-GGA) data for a relaxed structure of Ba2Ga3Sn5, as listed in Alexandria via LeMat-Bulk.

Values from the calculation:
DOS at the Fermi energy   6.98 states/eV per cell
Symmetry   No. 72
Total magnetization   0.0 μB/f.u.

abc: 7.3591 9.9066 9.9066
angles: 64.45 68.20 68.20
Last column: nearest neighbours and their distance in Å.
Sites, in units of the cell vectors:
1 Ga 0.1211 0.2617 0.4961  5 Sn 2.76-2.87
2 Ga 0.2500 0.0000 0.0000  4 Sn 2.85
3 Ga 0.7500 0.0000 0.0000  4 Sn 2.85
4 Ga 0.3789 0.5039 0.7383  5 Sn 2.76-2.87
5 Ga 0.6211 0.4961 0.2617  5 Sn 2.76-2.87
6 Ga 0.8789 0.7383 0.5039  5 Sn 2.76-2.87
7 Ba 0.1239 0.6324 0.1198  7 Ga 3.67-4.07, 10 Sn 3.73-3.90
8 Ba 0.3761 0.8802 0.3676  7 Ga 3.67-4.07, 10 Sn 3.73-3.90
9 Ba 0.8761 0.3676 0.8802  7 Ga 3.67-4.07, 10 Sn 3.73-3.90
10 Ba 0.6239 0.1198 0.6324  7 Ga 3.67-4.07, 10 Sn 3.73-3.90
11 Sn 0.7500 0.5000 0.5000  4 Ga 2.87
12 Sn 0.2500 0.5000 0.5000  4 Ga 2.87
13 Sn 0.8835 0.9953 0.2377  3 Ga 2.76-2.85, 2 Sn 3.09
14 Sn 0.0080 0.7420 0.7420  2 Ga 2.87, 2 Sn 3.09
15 Sn 0.1165 0.0047 0.7623  3 Ga 2.76-2.85, 2 Sn 3.09
16 Sn 0.3835 0.2377 0.9953  3 Ga 2.76-2.85, 2 Sn 3.09
17 Sn 0.4920 0.2580 0.2580  2 Ga 2.87, 2 Sn 3.09
18 Sn 0.6165 0.7623 0.0047  3 Ga 2.76-2.85, 2 Sn 3.09
19 Sn 0.5080 0.7420 0.7420  2 Ga 2.87, 2 Sn 3.09
20 Sn 0.9920 0.2580 0.2580  2 Ga 2.87, 2 Sn 3.09



b:
First-principles (PBE-GGA) data for a relaxed structure of Ba2Ga3Sn5, as listed in Alexandria via LeMat-Bulk.

Values from the calculation:
DOS at the Fermi energy   6.25 states/eV per cell
Symmetry   No. 115
Total magnetization   0.0 μB/f.u.

abc: 4.9760 4.9760 12.1291
angles: 90.00 90.00 90.00
Last column: nearest neighbours and their distance in Å.
Sites, in units of the cell vectors:
1 Ba 0.0000 0.5000 0.7336  10 Sn 3.77-4.08, 7 Ga 3.77-4.17
2 Ba 0.5000 0.0000 0.2664  10 Sn 3.77-4.08, 7 Ga 3.77-4.17
3 Sn 0.5000 0.5000 0.0000  4 Sn 3.12
4 Sn 0.5000 0.5000 0.5000  4 Ga 2.83
5 Sn 0.5000 0.0000 0.8449  1 Ga 2.84, 4 Sn 3.12
6 Sn 0.0000 0.5000 0.1551  1 Ga 2.84, 4 Sn 3.12
7 Sn 0.0000 0.0000 0.0000  4 Sn 3.12
8 Ga 0.0000 0.5000 0.3894  3 Sn 2.83-2.84, 2 Ga 2.83
9 Ga 0.5000 0.0000 0.6106  3 Sn 2.83-2.84, 2 Ga 2.83
10 Ga 0.0000 0.0000 0.5000  4 Ga 2.83



Which is more stable than every other structure shown? a is more stable than every other one.